Record 1
Density functional theory data (PBE) for a geometry-optimized RbCaCr2Br8 structure.

Cell: 7.1129 7.1129 9.8270 Å, 90.00 90.00 120.00°
Last column: nearest neighbours and their distance in Å.
Space group P-3 (No. 147)
Asymmetric unit:
Rb  0.0000  0.0000  0.0000 (multiplicity 1)  12 Br 3.89-4.12
Ca  0.0000  0.0000  0.5000 (multiplicity 1)  6 Br 2.92
Cr  0.3333  0.6667  0.7320 (multiplicity 2)  4 Br 2.36-2.47
Br  0.0034  0.6767  0.3186 (multiplicity 6)  1 Cr 2.47
Br  0.3333  0.6667  0.9721 (multiplicity 2)  1 Cr 2.36

## Properties
Total energy = -0.297 Ry per atom
ΔE_f (raw) = -1078.3 meV per atom
Crystal system = trigonal



Record 2
Density functional theory data (PBE) for a geometry-optimized RbCa2CrBr8 structure.

Cell: 6.5763 6.7760 9.0571 Å, 89.94 89.91 88.49°
Last column: nearest neighbours and their distance in Å.
Space group P-1 (No. 2)
Asymmetric unit:
Rb  0.0000  0.0000  0.0000 (multiplicity 1)  6 Br 3.20-3.30
Ca  0.4997  0.4999  0.2540 (multiplicity 2)  6 Br 2.88-3.14
Cr  0.0000  0.0000  0.5000 (multiplicity 1)  6 Br 2.52-2.64
Br  0.2272  0.8446  0.6943 (multiplicity 2)  1 Cr 2.52
Br  0.2282  0.8458  0.3054 (multiplicity 2)  1 Cr 2.52
Br  0.2326  0.3110  0.5003 (multiplicity 2)  1 Cr 2.64
Br  0.2682  0.3864  0.0002 (multiplicity 2)  2 Ca 2.88, 1 Rb 3.20

## Properties
Total energy = -0.279 Ry per atom
ΔE_f (raw) = -1465.4 meV per atom
Crystal system = triclinic



Record 3
Density functional theory data (PBE) for a geometry-optimized CaCrSeBr2 structure.

Cell: 5.0582 5.0582 5.2153 Å, 90.00 90.00 90.00°
Last column: nearest neighbours and their distance in Å.
Space group P4/mmm (No. 123)
Asymmetric unit:
Ca  0.0000  0.0000  0.0000 (multiplicity 1)  4 Se 3.58, 8 Br 3.63
Cr  0.5000  0.5000  0.5000 (multiplicity 1)  4 Br 2.53, 2 Se 2.61
Se  0.5000  0.5000  0.0000 (multiplicity 1)  2 Cr 2.61
Br  0.0000  0.5000  0.5000 (multiplicity 2)  2 Cr 2.53

## Properties
Total energy = -0.336 Ry per atom
Energy relative to the lowest polymorph listed for this composition = 0.0 meV per atom
ΔE_f (raw) = -882.5 meV per atom
Crystal system = tetragonal



Record 4
Density functional theory data (PBE) for a geometry-optimized CaCrSeBr2 structure.

Cell: 5.4663 5.4663 5.7430 Å, 90.00 90.00 90.00°
Last column: nearest neighbours and their distance in Å.
Space group P4/mmm (No. 123)
Asymmetric unit:
Ca  0.0000  0.0000  0.0000 (multiplicity 1)  4 Br 2.73, 2 Se 2.87
Cr  0.5000  0.5000  0.5000 (multiplicity 1)  4 Se 3.87, 8 Br 3.96
Se  0.0000  0.0000  0.5000 (multiplicity 1)  2 Ca 2.87
Br  0.0000  0.5000  0.0000 (multiplicity 2)  2 Ca 2.73

## Properties
Total energy = -0.300 Ry per atom
Energy relative to the lowest polymorph listed for this composition = 496.6 meV per atom
ΔE_f (raw) = -385.9 meV per atom
Crystal system = tetragonal



Record 5
Density functional theory data (PBE) for a geometry-optimized CaTl2CrBr6 structure.

Cell: 7.3314 7.5272 7.8659 Å, 61.57 62.49 89.68°
Last column: nearest neighbours and their distance in Å.
Space group P-1 (No. 2)
Asymmetric unit:
Ca  0.0000  0.0000  0.0000 (multiplicity 1)  6 Br 2.87-2.92
Tl  0.2497  0.7723  0.5039 (multiplicity 2)  7 Br 3.29-3.67
Cr  0.5000  0.5000  0.0000 (multiplicity 1)  4 Br 2.54-2.55
Br  0.1834  0.6495  0.0260 (multiplicity 2)  1 Cr 2.54
Br  0.2414  0.2038  0.5158 (multiplicity 2)  1 Ca 2.87, 1 Cr 3.06
Br  0.3518  0.2181  0.9691 (multiplicity 2)  1 Cr 2.55

## Properties
Total energy = -0.275 Ry per atom
ΔE_f (raw) = -1108.2 meV per atom
Crystal system = triclinic



Record 6
Density functional theory data (PBE) for a geometry-optimized CaZr2CrBr structure.

Cell: 4.7522 4.7522 5.9224 Å, 90.00 90.00 90.00°
Last column: nearest neighbours and their distance in Å.
Space group P4/mmm (No. 123)
Asymmetric unit:
Ca  0.0000  0.0000  0.0000 (multiplicity 1)  4 Br 3.36
Zr  0.0000  0.5000  0.5000 (multiplicity 2)  2 Cr 2.38
Cr  0.5000  0.5000  0.5000 (multiplicity 1)  4 Zr 2.38
Br  0.5000  0.5000  0.0000 (multiplicity 1)  2 Cr 2.96

## Properties
Total energy = -0.412 Ry per atom
ΔE_f (raw) = 472.3 meV per atom
Crystal system = tetragonal



The following mass density values (in Mg/m³) correspond, in order, to the records above: 3.4, 3.5, 4.1, 3.2, 5.0, 4.4.